[1]
This record from Alexandria via LeMat-Bulk describes a relaxed structure of SrLi2Sm. The functional is PBE-GGA.

The calculated volume is 502.7 Å³/cell. For the total energy, the calculation gives -2.39 eV/atom. For the polymorph energy (0 for the lowest one), the calculation gives 0.037 eV per atom. The calculation puts the formation energy at 0.163 eV/atom.

The structure belongs to space group Fm-3m (No. 225); the cell edges are 7.9514, 7.9514 and 7.9514 Å and the angles 90.00°, 90.00° and 90.00°. The inequivalent atoms are Sr at (0.0000, 0.0000, 0.0000), Li at (0.2500, 0.2500, 0.2500) and Sm at (0.0000, 0.0000, 0.5000).

---

[2]
This record from Alexandria via LeMat-Bulk describes a relaxed structure of Ca2Ga12Ru. The functional is PBE-GGA.

The calculated volume is 587.5 Å³/cell. For the total energy, the calculation gives -3.59 eV/atom. The calculation puts the formation energy at -0.286 eV/atom.

The structure belongs to space group P4/nbm (No. 125, origin choice 2); the cell edges are 6.0022, 6.0022 and 16.3075 Å and the angles 90.00°, 90.00° and 90.00°. The inequivalent atoms are Ca at (0.2500, 0.7500, 0.2476), Ga at (0.9999, 0.0001, 0.0879), Ga at (0.0694, 0.5694, 0.4296), Ga at (0.2500, 0.2500, 0.1895), Ga at (0.2500, 0.2500, 0.3414) and Ru at (0.2500, 0.7500, 0.0000).

---

What is the calculated volume in the first record?
502.7 Å³/cell